The following is a PBE calculation of a relaxed Ta3NbS crystal, from Alexandria.

Space-group type: No. 221
Excess energy over the best structure of this formula in the dataset in eV/atom: 1.941
ΔE_f (raw) in meV/atom: 1811
VASP energy in eV/atom: -8.140
Total magnetic moment in μB/atom: 0.000

Lattice parameters (Å, degrees): 4.903 4.903 4.903 90.00 90.00 90.00
Positions (direct):
Ta: 0.500 0.000 0.000
Ta: 0.000 0.000 0.500
Nb: 0.000 0.000 0.000
Ta: 0.000 0.500 0.000
S: 0.500 0.500 0.500



The following is a PBE calculation of a relaxed KTl2InRu crystal, from Alexandria.

Space-group type: No. 123
VASP energy in eV/atom: -3.573
Total magnetic moment in μB/atom: 0.000

Lattice parameters (Å, degrees): 5.349 5.349 5.243 90.00 90.00 90.00
Positions (direct):
Tl: 0.000 0.500 0.000
K: 0.500 0.500 0.500
Ru: 0.000 0.000 0.000
Tl: 0.500 0.000 0.000
In: 0.000 0.000 0.500